1.
# As2CI

As2CI at its PBEsol-relaxed geometry (meta-GGA SCAN, Alexandria via LeMat-Bulk).

Unit cell a=6.629 b=6.629 c=6.629 alpha=90.00 beta=90.00 gamma=90.00
Space group Fm-3m (No. 225)
Unique sites:
As (0.250, 0.250, 0.250) (multiplicity 8)
C (0.000, 0.000, 0.000) (multiplicity 4)
I (0.000, 0.000, 0.500) (multiplicity 4)

Computed properties:
Formation energy (no corrections), kJ per mole of atoms: 198.75

=====

2.
# HgPPb2

HgPPb2 at its PBEsol-relaxed geometry (meta-GGA SCAN, Alexandria via LeMat-Bulk).

Unit cell a=3.9548 b=3.9548 c=23.2678 alpha=90.00 beta=90.00 gamma=120.00
Space group R-3m (No. 166, hexagonal axes)
Unique sites:
Hg (0.0000, 0.0000, 0.0000) (multiplicity 3)
P (0.0000, 0.0000, 0.5000) (multiplicity 3)
Pb (0.0000, 0.0000, 0.2383) (multiplicity 6)

Computed properties:
Formation enthalpy at 0 K, eV per atom: 0.048
Energy above the most stable polymorph in this dataset, eV per formula unit: 0.00

=====

3.
# ZrTe2Ir

ZrTe2Ir at its PBEsol-relaxed geometry (meta-GGA SCAN, Alexandria via LeMat-Bulk).

Unit cell a=3.672 b=3.672 c=6.950 alpha=90.00 beta=90.00 gamma=90.00
Space group P4mm (No. 99)
Unique sites:
Zr (0.000, 0.000, 0.000) (multiplicity 1)
Te (0.000, 0.000, 0.391) (multiplicity 1)
Te (0.500, 0.500, 0.803) (multiplicity 1)
Ir (0.500, 0.500, 0.188) (multiplicity 1)

Computed properties:
Formation energy (no corrections), kJ per mole of atoms: -43.13
Energy above the most stable polymorph in this dataset, eV per formula unit: 0.82

=====

4.
# NaZn2Hg2

NaZn2Hg2 at its PBEsol-relaxed geometry (meta-GGA SCAN, Alexandria via LeMat-Bulk).

Unit cell a=4.007 b=4.007 c=13.103 alpha=90.00 beta=90.00 gamma=90.00
Space group I4/mmm (No. 139)
Unique sites:
Na (0.000, 0.000, 0.000) (multiplicity 2)
Zn (0.000, 0.500, 0.250) (multiplicity 4)
Hg (0.000, 0.000, 0.393) (multiplicity 4)

Computed properties:
Formation enthalpy at 0 K, eV per atom: -0.094

=====

5.
# AgPb2Br

AgPb2Br at its PBEsol-relaxed geometry (meta-GGA SCAN, Alexandria via LeMat-Bulk).

Unit cell a=3.439 b=5.050 c=6.030 alpha=90.00 beta=90.00 gamma=90.00
Space group Pmmm (No. 47)
Unique sites:
Ag (0.000, 0.000, 0.000) (multiplicity 1)
Pb (0.000, 0.500, 0.500) (multiplicity 1)
Pb (0.500, 0.500, 0.000) (multiplicity 1)
Br (0.500, 0.000, 0.500) (multiplicity 1)

Computed properties:
Formation energy (no corrections), kJ per mole of atoms: -3.89

=====

6.
# Ba3AgN

Ba3AgN at its PBEsol-relaxed geometry (meta-GGA SCAN, Alexandria via LeMat-Bulk).

Unit cell a=5.512 b=5.512 c=5.512 alpha=90.00 beta=90.00 gamma=90.00
Space group Pm-3m (No. 221)
Unique sites:
Ba (0.000, 0.000, 0.500) (multiplicity 3)
Ag (0.500, 0.500, 0.500) (multiplicity 1)
N (0.000, 0.000, 0.000) (multiplicity 1)

Computed properties:
Formation energy (no corrections), kJ per mole of atoms: -28.89

=====

no.,VASP energy (eV/atom),DOS at the Fermi energy (states/eV per cell)
1,-19.75,7.454
2,-57.48,3.735
3,-44.52,2.294
4,-33.61,3.609
5,-50.64,1.567
6,-32.16,3.888